(1)
A plane-wave DFT calculation with GGA-PBE was carried out for an optimized crystal structure of La2TiBe2.

Values from the calculation:
- relative energy among the computed polymorphs (meV per atom) = 0
- ρ (Mg/m³) = 5.202
- Fermi-level density of states (states/eV/cell) = 13.47

a b c (Å): 6.953 6.953 4.539
angles (deg): 90.00 90.00 90.00
Positions (direct):
1 La 0.193 0.307 0.000
2 La 0.307 0.807 0.000
3 La 0.693 0.193 0.000
4 La 0.807 0.693 0.000
5 Ti 0.000 0.000 0.500
6 Ti 0.500 0.500 0.500
7 Be 0.112 0.612 0.500
8 Be 0.388 0.112 0.500
9 Be 0.612 0.888 0.500
10 Be 0.888 0.388 0.500



(2)
A plane-wave DFT calculation with GGA-PBE was carried out for an optimized crystal structure of La2BeTl2.

Values from the calculation:
- ρ (Mg/m³) = 8.282
- Fermi-level density of states (states/eV/cell) = 6.49

a b c (Å): 7.321 7.321 5.204
angles (deg): 90.00 90.00 90.00
Positions (direct):
1 La 0.168 0.332 0.000
2 La 0.332 0.832 0.000
3 La 0.668 0.168 0.000
4 La 0.832 0.668 0.000
5 Be 0.000 0.000 0.500
6 Be 0.500 0.500 0.500
7 Tl 0.149 0.649 0.500
8 Tl 0.351 0.149 0.500
9 Tl 0.649 0.851 0.500
10 Tl 0.851 0.351 0.500



| no. | uncorrected energy (eV/atom) | spin magnetization (μB per formula unit) | DFT formation energy (eV/atom) |
| --- | --- | --- | --- |
| 1 | -4.713 | 0.00 | 0.327 |
| 2 | -3.717 | 0.00 | -0.054 |